! Sm4Te GGA-PBE relaxed; values from VASP
! Magnetic moment in μB per cell: 0.00
! Symmetry: Pm-3m, No. 221
! Raw formation energy in eV/atom: -0.103
! DFT total energy in eV for the cell shown: -22.53
&SYSTEM
  ibrav = 0, nat = 5, ntyp = 2
/
ATOMIC_SPECIES
Sm 150.36 Sm.upf
Te 127.60 Te.upf
CELL_PARAMETERS angstrom
5.8254 0.0000 0.0000
0.0000 5.8254 0.0000
0.0000 0.0000 5.8254
ATOMIC_POSITIONS crystal
Sm 0.5000 0.5000 0.0000
Sm 0.0000 0.5000 0.5000
Sm 0.5000 0.0000 0.5000
Te 0.5000 0.5000 0.5000
Sm 0.0000 0.0000 0.0000